Material: Ga2Ni2Sn
Method: DFT, GGA-PBE
State: relaxed

Results
The total energy is -4.584 eV/atom. Its total magnetic moment is 0.0 μB/f.u. Its energy above the lowest structure with this stoichiometry is 0.0000 eV per atom. The calculation puts the density at 7.9 g cm⁻³.

abc: 4.3018 4.3018 4.9377
angles: 90.00 90.00 59.99
Fractional positions:
Ni: 0.1667 0.6667 0.8549
Ni: 0.8333 0.3333 0.1451
Sn: 0.5000 0.0000 0.0000
Ga: 0.8332 0.3332 0.6328
Ga: 0.1668 0.6668 0.3672


Material: SrGa2NiSn
Method: DFT, GGA-PBE
State: relaxed

Results
The total energy is -3.782 eV/atom. Its total magnetic moment is 0.0 μB/f.u. The calculation puts the density at 5.8 g cm⁻³.

abc: 4.7426 4.7426 5.1072
angles: 90.00 90.00 90.00
Fractional positions:
Sn: 0.0000 0.0000 0.5000
Sr: 0.5000 0.5000 0.5000
Ga: 0.0000 0.5000 0.0000
Ga: 0.5000 0.0000 0.0000
Ni: 0.0000 0.0000 0.0000


Material: SrGaNiSn2
Method: DFT, GGA-PBE
State: relaxed

Results
The total energy is -3.939 eV/atom. Its total magnetic moment is 0.0 μB/f.u. The calculation puts the density at 6.0 g cm⁻³.

abc: 5.1416 5.1416 4.7262
angles: 90.00 90.00 90.00
Fractional positions:
Sr: 0.5000 0.5000 0.5000
Ni: 0.0000 0.0000 0.0000
Sn: 0.5000 0.0000 0.0000
Sn: 0.0000 0.5000 0.0000
Ga: 0.0000 0.0000 0.5000


Material: Tb3Ga2Ni9Sn
Method: DFT, GGA-PBE
State: relaxed

Results
The total energy is -5.188 eV/atom. Its total magnetic moment is 0.0 μB/f.u. The calculation puts the density at 7.5 g cm⁻³.

abc: 5.9716 5.9716 9.0309
angles: 90.00 90.00 120.00
Fractional positions:
Ga: 0.3333 0.6667 0.1768
Ga: 0.6667 0.3333 0.8232
Ni: 0.8672 0.7344 0.7335
Ni: 0.5000 0.5000 0.0000
Ni: 0.1328 0.2656 0.2665
Ni: 0.5000 0.0000 0.0000
Ni: 0.2656 0.1328 0.7335
Ni: 0.7344 0.8672 0.2665
Ni: 0.8672 0.1328 0.7335
Ni: 0.0000 0.5000 0.0000
Ni: 0.1328 0.8672 0.2665
Sn: 0.0000 0.0000 0.5000
Tb: 0.6667 0.3333 0.2674
Tb: 0.3333 0.6667 0.7326
Tb: 0.0000 0.0000 0.0000


Material: Tm2Ga2Ni5Sn
Method: DFT, GGA-PBE
State: relaxed

Results
The total energy is -5.210 eV/atom. Its total magnetic moment is 0.0 μB/f.u. The calculation puts the density at 9.3 g cm⁻³.

abc: 3.5380 9.4615 9.4615
angles: 90.00 90.00 90.00
Fractional positions:
Sn: 0.0000 0.0000 0.0000
Sn: 0.0000 0.5000 0.5000
Ga: 0.0000 0.1167 0.6167
Ga: 0.0000 0.3833 0.1167
Ga: 0.0000 0.6167 0.8833
Ga: 0.0000 0.8833 0.3833
Tm: 0.0000 0.8203 0.6797
Tm: 0.0000 0.6797 0.1797
Tm: 0.0000 0.3203 0.8203
Tm: 0.0000 0.1797 0.3203
Ni: 0.5000 0.5591 0.7143
Ni: 0.5000 0.7857 0.9409
Ni: 0.5000 0.2143 0.0591
Ni: 0.5000 0.0000 0.5000
Ni: 0.5000 0.5000 0.0000
Ni: 0.5000 0.7143 0.4409
Ni: 0.5000 0.0591 0.7857
Ni: 0.5000 0.4409 0.2857
Ni: 0.5000 0.9409 0.2143
Ni: 0.5000 0.2857 0.5591


Material: Y3Ga2Ni9Sn
Method: DFT, GGA-PBE
State: relaxed

Results
The total energy is -5.548 eV/atom. Its total magnetic moment is 0.0 μB/f.u. The calculation puts the density at 6.3 g cm⁻³.

abc: 5.9507 5.9507 9.1003
angles: 90.00 90.00 120.00
Fractional positions:
Y: 0.0000 0.0000 0.0000
Y: 0.3333 0.6667 0.7329
Y: 0.6667 0.3333 0.2671
Ni: 0.1331 0.2662 0.2679
Ni: 0.5000 0.5000 0.0000
Ni: 0.2662 0.1331 0.7321
Ni: 0.7338 0.8669 0.2679
Ni: 0.0000 0.5000 0.0000
Ni: 0.1331 0.8669 0.2679
Ni: 0.5000 0.0000 0.0000
Ni: 0.8669 0.1331 0.7321
Ni: 0.8669 0.7338 0.7321
Sn: 0.0000 0.0000 0.5000
Ga: 0.6667 0.3333 0.8246
Ga: 0.3333 0.6667 0.1754


Material: Y2Ga3Ni4Sn
Method: DFT, GGA-PBE
State: relaxed

Results
The total energy is -5.464 eV/atom. Its total magnetic moment is 0.0 μB/f.u. The calculation puts the density at 7.2 g cm⁻³.

abc: 4.1117 4.1117 10.1583
angles: 90.00 90.00 90.00
Fractional positions:
Ni: 0.5000 0.0000 0.6464
Ni: 0.0000 0.5000 0.3536
Ni: 0.5000 0.5000 0.0000
Ni: 0.0000 0.0000 0.0000
Ga: 0.0000 0.0000 0.5000
Ga: 0.0000 0.5000 0.1222
Ga: 0.5000 0.0000 0.8778
Sn: 0.5000 0.5000 0.5000
Y: 0.5000 0.0000 0.2406
Y: 0.0000 0.5000 0.7594


Material: SrGa2Ni2
Method: DFT, GGA-PBE
State: relaxed

Results
The total energy is -3.986 eV/atom. Its total magnetic moment is 0.0 μB/f.u. The calculation puts the density at 7.0 g cm⁻³.

abc: 7.6465 7.6465 2.8091
angles: 90.00 90.00 90.00
Fractional positions:
Ga: 0.3783 0.8783 0.0000
Ga: 0.6217 0.1217 0.0000
Ga: 0.8783 0.6217 0.0000
Ga: 0.1217 0.3783 0.0000
Ni: 0.8283 0.3283 0.5000
Ni: 0.6717 0.8283 0.5000
Ni: 0.1717 0.6717 0.5000
Ni: 0.3283 0.1717 0.5000
Sr: 0.5000 0.5000 0.0000
Sr: 0.0000 0.0000 0.0000


Material: Sr2GaNi
Method: DFT, GGA-PBE
State: relaxed

Results
The total energy is -3.338 eV/atom. Its total magnetic moment is 0.0 μB/f.u. The calculation puts the density at 3.9 g cm⁻³.

abc: 4.2928 4.2923 8.4139
angles: 75.28 75.22 60.00
Fractional positions:
Ni: 0.1357 0.8990 0.8295
Sr: 0.8883 0.6505 0.5729
Sr: 0.7170 0.4803 0.0857
Ga: 0.4693 0.2321 0.8293


Material: Sr3Ga3Ni
Method: DFT, GGA-PBE
State: relaxed

Results
The total energy is -3.213 eV/atom. Its total magnetic moment is 0.0 μB/f.u. The calculation puts the density at 4.6 g cm⁻³.

abc: 4.3055 6.3874 14.8817
angles: 84.56 81.68 70.30
Fractional positions:
Ni: 0.7767 0.0569 0.3898
Ni: 0.2233 0.9431 0.6102
Sr: 0.6096 0.7011 0.0797
Sr: 0.7461 0.7451 0.7627
Sr: 0.3904 0.2989 0.9203
Sr: 0.2539 0.2549 0.2373
Sr: 0.4841 0.6415 0.3902
Sr: 0.5159 0.3585 0.6098
Ga: 0.9521 0.8524 0.2434
Ga: 0.8069 0.8448 0.5414
Ga: 0.9001 0.1216 0.0783
Ga: 0.1931 0.1552 0.4586
Ga: 0.0479 0.1476 0.7566
Ga: 0.0999 0.8784 0.9217


Material: SrGaNi3
Method: DFT, GGA-PBE
State: relaxed

Results
The total energy is -4.250 eV/atom. Its total magnetic moment is 0.0 μB/f.u. Its energy above the lowest structure with this stoichiometry is 0.3182 eV per atom. The calculation puts the density at 5.9 g cm⁻³.

abc: 4.5336 4.5336 4.5336
angles: 90.00 90.00 90.00
Fractional positions:
Ni: 0.5000 0.0000 0.0000
Ni: 0.0000 0.0000 0.5000
Ni: 0.0000 0.5000 0.0000
Ga: 0.0000 0.0000 0.0000
Sr: 0.5000 0.5000 0.5000


Material: SrGa2Ni3
Method: DFT, GGA-PBE
State: relaxed

Results
The total energy is -4.511 eV/atom. Its total magnetic moment is 0.0 μB/f.u. The calculation puts the density at 6.5 g cm⁻³.

abc: 4.0757 7.8312 7.4198
angles: 114.01 90.00 105.08
Fractional positions:
Ni: 0.4155 0.8311 0.3658
Ni: 0.3112 0.6223 0.5484
Ni: 0.6888 0.3777 0.4516
Ni: 0.0197 0.0393 0.3601
Ni: 0.9803 0.9607 0.6399
Ni: 0.5845 0.1689 0.6342
Sr: 0.8465 0.6929 0.9217
Sr: 0.1535 0.3071 0.0783
Ga: 0.4784 0.9569 0.8020
Ga: 0.5216 0.0431 0.1980
Ga: 0.8263 0.6525 0.3644
Ga: 0.1737 0.3475 0.6356